(1)
This record from Alexandria describes a geometry-optimized KLaRu2 structure. The functional is PBE.

Summary:
Calculated formation energy in eV/atom: 1.028
DFT total energy in eV for the cell shown: -20.46
Volume in Å³/cell: 85

Cell lengths 3.1913, 5.6153, 5.9659 Å; angles 52.68, 90.00, 90.00 degrees
Fractional positions:
Ru 0.0000 0.0000 0.0000
Ru 0.5000 0.5000 0.0000
La 0.0000 0.0000 0.5000
K 0.5000 0.5000 0.5000


(2)
This record from Alexandria describes a geometry-optimized HoNpTe2 structure. The functional is PBE.

Summary:
DFT total energy in eV for the cell shown: -27.09
Volume in Å³/cell: 107
Raw formation energy in eV/atom: -0.8215

Cell lengths 3.7539, 3.7539, 7.6010 Å; angles 90.00, 90.00, 90.00 degrees
Fractional positions:
Te 0.0000 0.0000 0.7536
Te 0.0000 0.0000 0.2464
Ho 0.5000 0.5000 0.0000
Np 0.5000 0.5000 0.5000